First-principles (GGA-PBE) data for an optimized crystal structure of Rb3Sn2I2Br5, as listed in the Alexandria database.

Cell lengths 5.8652, 5.8652, 15.6716 Å; angles 100.79, 100.79, 90.00 degrees
Closest atoms and distances in Å follow each position.
Fractional positions:
I: 0.2981 0.2981 0.5961  1 Sn 3.12
I: 0.7019 0.7019 0.4039  1 Sn 3.12
Sn: 0.4013 0.4013 0.8027  5 Br 2.93-2.98, 1 I 3.12
Sn: 0.5987 0.5987 0.1973  5 Br 2.93-2.98, 1 I 3.12
Rb: 0.8249 0.8249 0.6498  1 I 3.72, 4 Br 3.80
Rb: 0.1751 0.1751 0.3502  1 I 3.72, 4 Br 3.80
Rb: 0.0000 0.0000 0.0000  12 Br 4.11-4.15
Br: 0.5000 0.5000 0.0000  2 Sn 2.98
Br: 0.9047 0.4047 0.8094  2 Sn 2.93
Br: 0.5953 0.0953 0.1906  2 Sn 2.93
Br: 0.4047 0.9047 0.8094  2 Sn 2.93
Br: 0.0953 0.5953 0.1906  2 Sn 2.93

- ΔE_f (raw) (meV per atom) = -1190
- total DFT energy (no corrections) (eV/atom) = -3.054

First-principles (GGA-PBE) data for an optimized crystal structure of Rb2SnIBr3, as listed in the Alexandria database.

Cell lengths 6.2167, 5.8776, 9.7869 Å; angles 107.47, 108.52, 90.00 degrees
Closest atoms and distances in Å follow each position.
Fractional positions:
Rb: 0.6414 0.6414 0.2829  1 Br 3.35
Rb: 0.3586 0.3586 0.7171  1 Br 3.35
Br: 0.0000 0.5000 0.0000  2 Sn 2.94
Br: 0.8320 0.8320 0.6639  1 Sn 2.96
Br: 0.1680 0.1680 0.3361  1 Sn 2.96
I: 0.5000 0.0000 0.0000  2 Sn 3.11
Sn: 0.0000 0.0000 0.0000  4 Br 2.94-2.96, 2 I 3.11

- ΔE_f (raw) (meV per atom) = -1238
- total DFT energy (no corrections) (eV/atom) = -3.024

First-principles (GGA-PBE) data for an optimized crystal structure of RbSnI2Br, as listed in the Alexandria database.

Cell lengths 6.2769, 6.2769, 5.8316 Å; angles 90.00, 90.00, 90.00 degrees
Closest atoms and distances in Å follow each position.
Fractional positions:
I: 0.5000 0.0000 0.0000  2 Sn 3.14
I: 0.0000 0.5000 0.0000  2 Sn 3.14
Sn: 0.0000 0.0000 0.0000  2 Br 2.92, 4 I 3.14
Br: 0.0000 0.0000 0.5000  2 Sn 2.92
Rb: 0.5000 0.5000 0.5000  8 I 4.28, 4 Br 4.44

- ΔE_f (raw) (meV per atom) = -969
- total DFT energy (no corrections) (eV/atom) = -2.918

First-principles (GGA-PBE) data for an optimized crystal structure of Rb2SnIBr5, as listed in the Alexandria database.

Cell lengths 7.8921, 7.8921, 7.8921 Å; angles 89.97, 120.02, 120.02 degrees
Closest atoms and distances in Å follow each position.
Fractional positions:
Br: 0.4767 0.2409 0.2409  1 Sn 2.66
Br: 0.5233 0.7642 0.7642  1 Sn 2.66
Br: 0.0000 0.7642 0.2409  1 Sn 2.66
Br: 0.0000 0.2404 0.2404  1 Sn 2.65
Br: 0.0000 0.2409 0.7642  1 Sn 2.66
Sn: 0.0000 0.0030 0.0030  5 Br 2.65-2.66, 1 I 2.87
Rb: 0.5000 0.2502 0.7502  10 Br 3.93-3.97, 2 I 3.95
Rb: 0.5000 0.7502 0.2502  10 Br 3.93-3.97, 2 I 3.95
I: 0.0000 0.7461 0.7461  1 Sn 2.87

- ΔE_f (raw) (meV per atom) = -1132
- total DFT energy (no corrections) (eV/atom) = -2.893

First-principles (GGA-PBE) data for an optimized crystal structure of Rb2SrI6Br, as listed in the Alexandria database.

Cell lengths 9.5079, 9.5079, 9.0069 Å; angles 58.14, 58.14, 90.00 degrees
Closest atoms and distances in Å follow each position.
Fractional positions:
Rb: 0.7500 0.2500 0.5000  12 I 4.51-4.76
Rb: 0.2500 0.7500 0.5000  12 I 4.51-4.76
I: 0.7636 0.7636 0.0000  1 Sr 3.18, 1 Br 3.54
I: 0.2364 0.7636 0.0000  1 Sr 3.18, 1 Br 3.54
I: 0.7258 0.7258 0.5483  1 Br 2.71
I: 0.2742 0.2742 0.4517  1 Br 2.71
I: 0.2364 0.2364 0.0000  1 Sr 3.18, 1 Br 3.54
I: 0.7636 0.2364 0.0000  1 Sr 3.18, 1 Br 3.54
Sr: 0.0000 0.0000 0.0000  6 I 3.18-3.29
Br: 0.5000 0.5000 0.0000  2 I 2.71

- ΔE_f (raw) (meV per atom) = -893
- total DFT energy (no corrections) (eV/atom) = -2.352

First-principles (GGA-PBE) data for an optimized crystal structure of Rb2SrIBr6, as listed in the Alexandria database.

Cell lengths 8.2771, 8.2771, 8.9508 Å; angles 62.46, 62.46, 90.00 degrees
Closest atoms and distances in Å follow each position.
Fractional positions:
Sr: 0.5000 0.5000 0.0000  6 Br 2.97-3.00
Rb: 0.7500 0.2500 0.5000  12 Br 4.16-4.48
Rb: 0.2500 0.7500 0.5000  12 Br 4.16-4.48
Br: 0.2433 0.7567 0.0000  1 I 2.85, 1 Sr 3.00
Br: 0.7567 0.7567 0.0000  1 I 2.85, 1 Sr 3.00
Br: 0.2433 0.2433 0.0000  1 I 2.85, 1 Sr 3.00
Br: 0.2806 0.2806 0.4388  1 Sr 2.97
Br: 0.7567 0.2433 0.0000  1 I 2.85, 1 Sr 3.00
Br: 0.7194 0.7194 0.5612  1 Sr 2.97
I: 0.0000 0.0000 0.0000  4 Br 2.85

- ΔE_f (raw) (meV per atom) = -1156
- total DFT energy (no corrections) (eV/atom) = -2.676

First-principles (GGA-PBE) data for an optimized crystal structure of Rb2TaI2Br4, as listed in the Alexandria database.

Cell lengths 7.8200, 7.9304, 7.9304 Å; angles 58.68, 61.11, 61.11 degrees
Closest atoms and distances in Å follow each position.
Fractional positions:
Br: 0.7133 0.2530 0.7842  1 Ta 2.58
Br: 0.7133 0.7842 0.2530  1 Ta 2.58
Br: 0.2867 0.7470 0.2158  1 Ta 2.58
Br: 0.2867 0.2158 0.7470  1 Ta 2.58
I: 0.2184 0.2442 0.2442  1 Ta 2.83
I: 0.7816 0.7558 0.7558  1 Ta 2.83
Ta: 0.5000 0.0000 0.0000  4 Br 2.58, 2 I 2.83
Rb: 0.2765 0.7477 0.7477  6 Br 3.74-4.18, 4 I 3.81-4.01
Rb: 0.7235 0.2523 0.2523  6 Br 3.74-4.18, 4 I 3.81-4.01

- ΔE_f (raw) (meV per atom) = -1153
- total DFT energy (no corrections) (eV/atom) = -3.773

First-principles (GGA-PBE) data for an optimized crystal structure of Rb2TaI6Br, as listed in the Alexandria database.

Cell lengths 8.8812, 8.8812, 8.8824 Å; angles 60.00, 60.00, 90.00 degrees
Closest atoms and distances in Å follow each position.
Fractional positions:
I: 0.7783 0.2217 0.0000  1 Ta 2.78
I: 0.2217 0.2217 0.0000  1 Ta 2.78
I: 0.7783 0.7783 0.0000  1 Ta 2.78
I: 0.2217 0.2217 0.5567  1 Ta 2.78
I: 0.2217 0.7783 0.0000  1 Ta 2.78
I: 0.7783 0.7783 0.4433  1 Ta 2.78
Br: 0.5000 0.5000 0.0000  6 I 3.50
Ta: 0.0000 0.0000 0.0000  6 I 2.78
Rb: 0.7500 0.2500 0.5000  12 I 4.45-4.46
Rb: 0.2500 0.7500 0.5000  12 I 4.45-4.46

- ΔE_f (raw) (meV per atom) = -747
- total DFT energy (no corrections) (eV/atom) = -3.223

First-principles (GGA-PBE) data for an optimized crystal structure of Rb2TcIBr6, as listed in the Alexandria database.

Cell lengths 8.1206, 8.1206, 8.3884 Å; angles 61.05, 61.05, 90.00 degrees
Closest atoms and distances in Å follow each position.
Fractional positions:
I: 0.0000 0.0000 0.0000  4 Br 3.18
Br: 0.7229 0.2771 0.0000  1 Tc 2.56
Br: 0.2771 0.7229 0.0000  1 Tc 2.56
Br: 0.7229 0.7229 0.0000  1 Tc 2.56
Br: 0.2928 0.2928 0.4144  1 Tc 2.53
Br: 0.2771 0.2771 0.0000  1 Tc 2.56
Br: 0.7072 0.7072 0.5856  1 Tc 2.53
Tc: 0.5000 0.5000 0.0000  6 Br 2.53-2.56
Rb: 0.2500 0.7500 0.5000  12 Br 4.09-4.21
Rb: 0.7500 0.2500 0.5000  12 Br 4.09-4.21

- ΔE_f (raw) (meV per atom) = -794
- total DFT energy (no corrections) (eV/atom) = -3.183

First-principles (GGA-PBE) data for an optimized crystal structure of Rb2TcIBr6, as listed in the Alexandria database.

Cell lengths 8.1630, 9.2529, 7.5180 Å; angles 69.29, 52.76, 56.55 degrees
Closest atoms and distances in Å follow each position.
Fractional positions:
Rb: 0.1594 0.0624 0.7551  8 Br 3.49-3.88
Rb: 0.4729 0.5699 0.3474  8 Br 3.49-3.88
Br: 0.2656 0.0402 0.1863  1 Tc 2.56
Br: 0.5655 0.1963 0.2144  1 Tc 2.54
Br: 0.9618 0.4559 0.4155  1 Tc 2.52
Br: 0.3667 0.5921 0.9169  1 Tc 2.56
Br: 0.0671 0.4359 0.8885  1 Tc 2.54
Br: 0.6705 0.1765 0.6876  1 Tc 2.51
I: 0.8159 0.8162 0.5520  2 Br 3.18-3.19
Tc: 0.3162 0.3161 0.0515  6 Br 2.51-2.56

- ΔE_f (raw) (meV per atom) = -860
- total DFT energy (no corrections) (eV/atom) = -3.249

First-principles (GGA-PBE) data for an optimized crystal structure of Rb2TcI5Br, as listed in the Alexandria database.

Cell lengths 8.1042, 8.1042, 8.1042 Å; angles 90.40, 119.77, 119.77 degrees
Closest atoms and distances in Å follow each position.
Fractional positions:
Br: 0.0000 0.7741 0.7741  1 Tc 2.55
I: 0.4794 0.2380 0.2380  1 Tc 2.76
I: 0.0000 0.7586 0.2380  1 Tc 2.76
I: 0.0000 0.2370 0.2370  1 Tc 2.74
I: 0.5206 0.7586 0.7586  1 Tc 2.76
I: 0.0000 0.2380 0.7586  1 Tc 2.76
Rb: 0.5000 0.7493 0.2493  10 I 4.05-4.07, 2 Br 4.08
Rb: 0.5000 0.2493 0.7493  10 I 4.05-4.07, 2 Br 4.08
Tc: 0.0000 0.9971 0.9971  1 Br 2.55, 5 I 2.74-2.76

- ΔE_f (raw) (meV per atom) = -782
- total DFT energy (no corrections) (eV/atom) = -3.195

First-principles (GGA-PBE) data for an optimized crystal structure of Rb2TcI2Br4, as listed in the Alexandria database.

Cell lengths 7.9014, 7.7902, 7.7902 Å; angles 60.42, 60.30, 60.30 degrees
Closest atoms and distances in Å follow each position.
Fractional positions:
Tc: 0.5000 0.0000 0.0000  4 Br 2.54, 2 I 2.76
Rb: 0.7285 0.2529 0.2529  6 Br 3.70-4.08, 4 I 3.83-4.08
Rb: 0.2715 0.7471 0.7471  6 Br 3.70-4.08, 4 I 3.83-4.08
I: 0.7830 0.7516 0.7516  1 Tc 2.76
I: 0.2170 0.2484 0.2484  1 Tc 2.76
Br: 0.7080 0.7894 0.2476  1 Tc 2.54
Br: 0.2920 0.2106 0.7524  1 Tc 2.54
Br: 0.2920 0.7524 0.2106  1 Tc 2.54
Br: 0.7080 0.2476 0.7894  1 Tc 2.54

- ΔE_f (raw) (meV per atom) = -946
- total DFT energy (no corrections) (eV/atom) = -3.401